## SrHoAu (PBE-GGA)

Data for a relaxed structure of SrHoAu.

a b c (Å): 3.739 3.739 13.328
angles (deg): 90.00 90.00 90.00
Space group I4mm (No. 107)
One atom of each set of equivalent atoms:
Sr1 0.000 0.000 0.000 (multiplicity 2)
Ho1 0.000 0.000 0.268 (multiplicity 2)
Au1 0.000 0.000 0.667 (multiplicity 2)

Results
Formation energy ... -512 meV/atom
Energy above the most stable polymorph in this dataset ... 44.7 meV per atom

## SrHo4Au5 (PBE-GGA)

Data for a relaxed structure of SrHo4Au5.

a b c (Å): 3.605 3.605 18.443
angles (deg): 90.00 90.00 90.00
Space group P4/mmm (No. 123)
One atom of each set of equivalent atoms:
Sr1 0.000 0.000 0.000 (multiplicity 1)
Ho1 0.000 0.000 0.207 (multiplicity 2)
Ho2 0.000 0.000 0.403 (multiplicity 2)
Au1 0.500 0.500 0.120 (multiplicity 2)
Au2 0.500 0.500 0.306 (multiplicity 2)
Au3 0.500 0.500 0.500 (multiplicity 1)

Results
Formation energy ... -843 meV/atom

## SrHoAu2 (PBE-GGA)

Data for a relaxed structure of SrHoAu2.

a b c (Å): 4.9860 4.9860 15.1967
angles (deg): 90.00 90.00 120.00
Space group R-3m (No. 166, hexagonal axes)
One atom of each set of equivalent atoms:
Sr1 0.0000 0.0000 0.0000 (multiplicity 3)
Ho1 0.0000 0.0000 0.5000 (multiplicity 3)
Au1 0.0000 0.0000 0.2142 (multiplicity 6)

Results
Formation energy ... -720 meV/atom
Energy above the most stable polymorph in this dataset ... 84.7 meV per atom

## SrHoAu2 (PBE-GGA)

Data for a relaxed structure of SrHoAu2.

a b c (Å): 3.690 3.690 7.537
angles (deg): 90.00 90.00 90.00
Space group P4/mmm (No. 123)
One atom of each set of equivalent atoms:
Sr1 0.000 0.000 0.000 (multiplicity 1)
Ho1 0.000 0.000 0.500 (multiplicity 1)
Au1 0.500 0.500 0.291 (multiplicity 2)

Results
Formation energy ... -804 meV/atom
Energy above the most stable polymorph in this dataset ... 0.0 meV per atom

## Sr2HoAu4 (PBE-GGA)

Data for a relaxed structure of Sr2HoAu4.

a b c (Å): 5.327 5.327 13.736
angles (deg): 90.00 90.00 90.00
Space group I4/mmm (No. 139)
One atom of each set of equivalent atoms:
Sr1 0.000 0.000 0.224 (multiplicity 4)
Ho1 0.000 0.000 0.500 (multiplicity 2)
Au1 0.000 0.500 0.105 (multiplicity 8)

Results
Formation energy ... -630 meV/atom

## SrHoAu (PBE-GGA)

Data for a relaxed structure of SrHoAu.

a b c (Å): 4.9315 4.9315 4.6526
angles (deg): 90.00 90.00 120.00
Space group P3m1 (No. 156)
One atom of each set of equivalent atoms:
Sr1 0.0000 0.0000 0.0000 (multiplicity 1)
Ho1 0.6667 0.3333 0.5018 (multiplicity 1)
Au1 0.3333 0.6667 0.4635 (multiplicity 1)

Results
Formation energy ... -362 meV/atom
Energy above the most stable polymorph in this dataset ... 193.9 meV per atom

## SrHoTe3Au (PBE-GGA)

Data for a relaxed structure of SrHoTe3Au.

a b c (Å): 8.613 4.375 10.342
angles (deg): 90.00 104.20 90.00
Space group P2_1/m (No. 11)
One atom of each set of equivalent atoms:
Sr1 0.211 0.250 0.277 (multiplicity 2)
Ho1 0.317 0.750 0.831 (multiplicity 2)
Te1 0.077 0.250 0.861 (multiplicity 2)
Te2 0.275 0.750 0.531 (multiplicity 2)
Te3 0.425 0.750 0.144 (multiplicity 2)
Au1 0.089 0.250 0.594 (multiplicity 2)

Results
ΔE_f (raw) ... -1.19 eV per atom

## Sr2HoZnAu6 (PBE-GGA)

Data for a relaxed structure of Sr2HoZnAu6.

a b c (Å): 6.083 6.194 7.498
angles (deg): 69.77 67.22 73.59
Space group P-1 (No. 2)
One atom of each set of equivalent atoms:
Sr1 0.010 0.375 0.289 (multiplicity 2)
Ho1 0.500 0.000 0.500 (multiplicity 1)
Zn1 0.500 0.000 0.000 (multiplicity 1)
Au1 0.001 0.090 0.773 (multiplicity 2)
Au2 0.363 0.702 0.905 (multiplicity 2)
Au3 0.451 0.642 0.322 (multiplicity 2)

Results
Formation energy ... -545 meV/atom

## SrHoZnAu (PBE-GGA)

Data for a relaxed structure of SrHoZnAu.

a b c (Å): 7.401 7.401 7.401
angles (deg): 90.00 90.00 90.00
Space group F-43m (No. 216)
One atom of each set of equivalent atoms:
Sr1 0.000 0.000 0.000 (multiplicity 4)
Ho1 0.000 0.000 0.500 (multiplicity 4)
Zn1 0.250 0.250 0.250 (multiplicity 4)
Au1 0.250 0.250 0.750 (multiplicity 4)

Results
Formation energy ... -444 meV/atom

## TbHo5Au6 (PBE-GGA)

Data for a relaxed structure of TbHo5Au6.

a b c (Å): 5.101 7.095 15.346
angles (deg): 90.00 90.00 90.00
Space group Immm (No. 71)
One atom of each set of equivalent atoms:
Tb1 0.000 0.000 0.000 (multiplicity 2)
Ho1 0.000 0.000 0.333 (multiplicity 4)
Ho2 0.000 0.500 0.000 (multiplicity 2)
Ho3 0.000 0.500 0.334 (multiplicity 4)
Au1 0.000 0.247 0.500 (multiplicity 4)
Au2 0.000 0.251 0.168 (multiplicity 8)

Results
Formation energy ... -869 meV/atom

## TbHo2Au4 (PBE-GGA)

Data for a relaxed structure of TbHo2Au4.

a b c (Å): 7.349 9.599 4.945
angles (deg): 90.00 90.00 90.00
Space group Cmmm (No. 65)
One atom of each set of equivalent atoms:
Tb1 0.000 0.000 0.000 (multiplicity 2)
Ho1 0.000 0.287 0.500 (multiplicity 4)
Au1 0.210 0.000 0.500 (multiplicity 4)
Au2 0.250 0.250 0.000 (multiplicity 4)

Results
Formation energy ... -725 meV/atom

## Tb2HoAu (PBE-GGA)

Data for a relaxed structure of Tb2HoAu.

a b c (Å): 3.6501 3.6501 30.2216
angles (deg): 90.00 90.00 120.00
Space group R-3m (No. 166, hexagonal axes)
One atom of each set of equivalent atoms:
Tb1 0.0000 0.0000 0.2381 (multiplicity 6)
Ho1 0.0000 0.0000 0.0000 (multiplicity 3)
Au1 0.0000 0.0000 0.5000 (multiplicity 3)

Results
Formation energy ... -270 meV/atom
Energy above the most stable polymorph in this dataset ... 172.6 meV per atom